1.
{"formula": "YInO2F", "functional": "PBE", "state": "relaxed", "cell": [[4.288, 0.000, 0.000], [0.000, 4.288, 0.000], [0.000, 0.000, 4.239]], "species": ["Y", "In", "O", "O", "F"], "fractional_positions": [[0.000, 0.000, 0.000], [0.500, 0.500, 0.500], [0.000, 0.500, 0.500], [0.500, 0.000, 0.500], [0.500, 0.500, 0.000]], "n_ef_per_ev_cell": 2.2, "spacegroup": "P4/mmm, No. 123", "magmom_total_mub_per_cell": 0.415, "raw_formation_energy_ev_per_fu": -8.91}

2.
{"formula": "Y2InOF", "functional": "PBE", "state": "relaxed", "cell": [[4.865, 0.000, 0.000], [0.000, 4.865, 0.000], [0.000, 0.000, 4.545]], "species": ["Y", "Y", "In", "O", "F"], "fractional_positions": [[0.000, 0.500, 0.000], [0.500, 0.000, 0.000], [0.000, 0.000, 0.500], [0.500, 0.500, 0.500], [0.000, 0.000, 0.000]], "n_ef_per_ev_cell": 5.3, "spacegroup": "P4/mmm, No. 123", "magmom_total_mub_per_cell": 0.816, "raw_formation_energy_ev_per_fu": -3.08}

3.
{"formula": "YInOF2", "functional": "PBE", "state": "relaxed", "cell": [[4.431, 0.000, 0.000], [0.000, 4.431, 0.000], [0.000, 0.000, 4.373]], "species": ["Y", "In", "O", "F", "F"], "fractional_positions": [[0.000, 0.000, 0.000], [0.500, 0.500, 0.500], [0.500, 0.500, 0.000], [0.000, 0.500, 0.500], [0.500, 0.000, 0.500]], "n_ef_per_ev_cell": 3.6, "spacegroup": "P4/mmm, No. 123", "magmom_total_mub_per_cell": 0.987, "polymorph_energy_ev_per_fu": 5.51, "raw_formation_energy_ev_per_fu": -8.48}

4.
{"formula": "YInOF2", "functional": "PBE", "state": "relaxed", "cell": [[4.466, 0.000, 0.000], [0.000, 4.466, 0.000], [0.000, 0.000, 4.433]], "species": ["Y", "In", "O", "F", "F"], "fractional_positions": [[0.000, 0.000, 0.000], [0.500, 0.500, 0.500], [0.000, 0.000, 0.500], [0.000, 0.500, 0.000], [0.500, 0.000, 0.000]], "n_ef_per_ev_cell": 0.0, "spacegroup": "P4/mmm, No. 123", "magmom_total_mub_per_cell": 0.000, "polymorph_energy_ev_per_fu": 0.00, "raw_formation_energy_ev_per_fu": -13.99}

5.
{"formula": "YInO2F", "functional": "PBE", "state": "relaxed", "cell": [[4.471, 0.000, 0.000], [0.000, 4.471, 0.000], [0.000, 0.000, 4.340]], "species": ["Y", "In", "O", "O", "F"], "fractional_positions": [[0.000, 0.000, 0.000], [0.500, 0.500, 0.500], [0.000, 0.500, 0.000], [0.500, 0.000, 0.000], [0.000, 0.000, 0.500]], "n_ef_per_ev_cell": 3.3, "spacegroup": "P4/mmm, No. 123", "magmom_total_mub_per_cell": 0.601, "raw_formation_energy_ev_per_fu": -11.00}

6.
{"formula": "ZnInOF2", "functional": "PBE", "state": "relaxed", "cell": [[3.972, 0.000, 0.000], [0.000, 3.972, 0.000], [0.000, 0.000, 4.271]], "species": ["Zn", "In", "O", "F", "F"], "fractional_positions": [[0.000, 0.000, 0.000], [0.500, 0.500, 0.500], [0.000, 0.000, 0.500], [0.000, 0.500, 0.000], [0.500, 0.000, 0.000]], "n_ef_per_ev_cell": 1.8, "spacegroup": "P4/mmm, No. 123", "magmom_total_mub_per_cell": 0.000, "polymorph_energy_ev_per_fu": 0.00, "raw_formation_energy_ev_per_fu": -7.59}